# 1
# Nd5GeP4 PBE relaxed
data_Nd5GeP4
_cell_length_a 7.256
_cell_length_b 7.256
_cell_length_c 7.256
_cell_angle_alpha 99.58
_cell_angle_beta 99.58
_cell_angle_gamma 131.85
_symmetry_space_group_name_H-M 'P 1'
_symmetry_Int_Tables_number 1
loop_
_symmetry_equiv_pos_as_xyz
'x,y,z'
loop_
_atom_site_label
_atom_site_type_symbol
_atom_site_fract_x
_atom_site_fract_y
_atom_site_fract_z
Nd1 Nd 0.000 0.000 0.000
Nd2 Nd 0.193 0.396 0.589
Nd3 Nd 0.396 0.807 0.203
Nd4 Nd 0.604 0.193 0.797
Nd5 Nd 0.807 0.604 0.411
Ge1 Ge 0.500 0.500 0.000
P1 P 0.100 0.700 0.800
P2 P 0.300 0.100 0.401
P3 P 0.700 0.900 0.599
P4 P 0.900 0.300 0.200
# Spin magnetization ... 0.00 Bohr magnetons per cell
# Energy relative to the elements ... -1.35 eV/atom
# V ... 260 Å³/cell

***

# 2
# PrNd3Y2 PBE relaxed
data_PrNd3Y2
_cell_length_a 12.113
_cell_length_b 11.554
_cell_length_c 6.315
_cell_angle_alpha 79.47
_cell_angle_beta 69.69
_cell_angle_gamma 30.84
_symmetry_space_group_name_H-M 'P 1'
_symmetry_Int_Tables_number 1
loop_
_symmetry_equiv_pos_as_xyz
'x,y,z'
loop_
_atom_site_label
_atom_site_type_symbol
_atom_site_fract_x
_atom_site_fract_y
_atom_site_fract_z
Pr1 Pr 0.125 0.125 0.125
Pr2 Pr 0.875 0.875 0.875
Nd1 Nd 0.042 0.042 0.708
Nd2 Nd 0.292 0.292 0.958
Nd3 Nd 0.375 0.375 0.375
Nd4 Nd 0.625 0.625 0.625
Nd5 Nd 0.708 0.708 0.042
Nd6 Nd 0.958 0.958 0.292
Y1 Y 0.209 0.209 0.541
Y2 Y 0.459 0.459 0.791
Y3 Y 0.541 0.541 0.209
Y4 Y 0.791 0.791 0.459
# Spin magnetization ... 0.00 Bohr magnetons per cell
# Energy relative to the elements ... 0.01 eV/atom
# V ... 412 Å³/cell

***

# 3
# GdPuCuSb PBE relaxed
data_GdPuCuSb
_cell_length_a 5.196
_cell_length_b 5.196
_cell_length_c 5.196
_cell_angle_alpha 60.00
_cell_angle_beta 60.00
_cell_angle_gamma 60.00
_symmetry_space_group_name_H-M 'P 1'
_symmetry_Int_Tables_number 1
loop_
_symmetry_equiv_pos_as_xyz
'x,y,z'
loop_
_atom_site_label
_atom_site_type_symbol
_atom_site_fract_x
_atom_site_fract_y
_atom_site_fract_z
Gd1 Gd 0.000 0.000 0.000
Pu1 Pu 0.500 0.500 0.500
Cu1 Cu 0.250 0.250 0.250
Sb1 Sb 0.750 0.750 0.750
# Spin magnetization ... 0.36 Bohr magnetons per cell
# E ... -9.49 eV per atom
# V ... 99 Å³/cell

***

# 4
# CdAg2HgAs PBE relaxed
data_CdAg2HgAs
_cell_length_a 5.177
_cell_length_b 5.177
_cell_length_c 5.224
_cell_angle_alpha 90.00
_cell_angle_beta 90.00
_cell_angle_gamma 90.00
_symmetry_space_group_name_H-M 'P 1'
_symmetry_Int_Tables_number 1
loop_
_symmetry_equiv_pos_as_xyz
'x,y,z'
loop_
_atom_site_label
_atom_site_type_symbol
_atom_site_fract_x
_atom_site_fract_y
_atom_site_fract_z
Cd1 Cd 0.000 0.000 0.000
Ag1 Ag 0.000 0.500 0.000
Ag2 Ag 0.500 0.000 0.000
Hg1 Hg 0.000 0.000 0.500
As1 As 0.500 0.500 0.500
# Spin magnetization ... 0.00 Bohr magnetons per cell
# Energy relative to the elements ... 0.81 eV/atom
# V ... 140 Å³/cell